# NbSnRu, optimized geometry, DFT GGA-PBE
# Energy relative to the elements = -0.10 eV per atom
# E = -7.8848 eV per atom
data_NbSnRu
_chemical_formula_sum 'Nb1 Sn1 Ru1'
_cell_length_a 4.5275
_cell_length_b 4.5275
_cell_length_c 2.9928
_cell_angle_alpha 90.00
_cell_angle_beta 90.00
_cell_angle_gamma 120.00
_symmetry_space_group_name_H-M 'P -6 m 2'
_symmetry_Int_Tables_number 187
_symmetry_space_group_name_Hall 'P -6 2'
loop_
_atom_site_label
_atom_site_fract_x
_atom_site_fract_y
_atom_site_fract_z
Nb1 0.0000 0.0000 0.0000
Sn1 0.3333 0.6667 0.5000
Ru1 0.6667 0.3333 0.5000

***

# Dy2Ga4Ni5, optimized geometry, DFT GGA-PBE
# Energy relative to the elements = -0.51 eV per atom
# E = -5.0714 eV per atom
data_Dy2Ga4Ni5
_chemical_formula_sum 'Dy8 Ga16 Ni20'
_cell_length_a 5.300
_cell_length_b 9.020
_cell_length_c 14.785
_cell_angle_alpha 90.00
_cell_angle_beta 90.00
_cell_angle_gamma 90.00
_symmetry_space_group_name_H-M 'F m m m'
_symmetry_Int_Tables_number 69
_symmetry_space_group_name_Hall '-F 2 2'
loop_
_atom_site_label
_atom_site_fract_x
_atom_site_fract_y
_atom_site_fract_z
Dy1 0.000 0.000 0.131
Ga1 0.000 0.159 0.371
Ni1 0.000 0.000 0.500
Ni2 0.250 0.250 0.000
Ni3 0.250 0.250 0.250

***

# TaSeBr2, optimized geometry, DFT GGA-PBE
# Uncorrected formation energy = -0.09 eV/atom
# E = -4.7651 eV per atom
data_TaSeBr2
_chemical_formula_sum 'Ta3 Se3 Br6'
_cell_length_a 3.2182
_cell_length_b 3.2182
_cell_length_c 31.1221
_cell_angle_alpha 90.00
_cell_angle_beta 90.00
_cell_angle_gamma 120.00
_symmetry_space_group_name_H-M 'R -3 m'
_symmetry_Int_Tables_number 166
_symmetry_space_group_name_Hall '-R 3 2"'
loop_
_atom_site_label
_atom_site_fract_x
_atom_site_fract_y
_atom_site_fract_z
Ta1 0.0000 0.0000 0.0000
Se1 0.0000 0.0000 0.5000
Br1 0.0000 0.0000 0.2717

***

# LaAgCl2, optimized geometry, DFT GGA-PBE
# Uncorrected formation energy = -1.28 eV/atom
# E = -4.1431 eV per atom
data_LaAgCl2
_chemical_formula_sum 'La2 Ag2 Cl4'
_cell_length_a 13.365
_cell_length_b 3.942
_cell_length_c 5.501
_cell_angle_alpha 90.00
_cell_angle_beta 114.23
_cell_angle_gamma 90.00
_symmetry_space_group_name_H-M 'C 1 2/m 1'
_symmetry_Int_Tables_number 12
_symmetry_space_group_name_Hall '-C 2y'
loop_
_atom_site_label
_atom_site_fract_x
_atom_site_fract_y
_atom_site_fract_z
La1 0.000 0.000 0.000
Ag1 0.000 0.500 0.500
Cl1 0.164 0.500 0.163

***

# CdTcIrI2, optimized geometry, DFT GGA-PBE
# Uncorrected formation energy = 1.52 eV/atom
# E = -3.1295 eV per atom
data_CdTcIrI2
_chemical_formula_sum 'Cd1 Tc1 Ir1 I2'
_cell_length_a 5.215
_cell_length_b 5.215
_cell_length_c 5.363
_cell_angle_alpha 90.00
_cell_angle_beta 90.00
_cell_angle_gamma 90.00
_symmetry_space_group_name_H-M 'P 4/m m m'
_symmetry_Int_Tables_number 123
_symmetry_space_group_name_Hall '-P 4 2'
loop_
_atom_site_label
_atom_site_fract_x
_atom_site_fract_y
_atom_site_fract_z
Cd1 0.000 0.000 0.000
Tc1 0.000 0.000 0.500
Ir1 0.500 0.500 0.000
I1 0.000 0.500 0.500

***

# NbTlF2, optimized geometry, DFT GGA-PBE
# Uncorrected formation energy = -1.46 eV/atom
# E = -5.5042 eV per atom
data_NbTlF2
_chemical_formula_sum 'Nb3 Tl3 F6'
_cell_length_a 3.1859
_cell_length_b 3.1859
_cell_length_c 26.6295
_cell_angle_alpha 90.00
_cell_angle_beta 90.00
_cell_angle_gamma 120.00
_symmetry_space_group_name_H-M 'R -3 m'
_symmetry_Int_Tables_number 166
_symmetry_space_group_name_Hall '-R 3 2"'
loop_
_atom_site_label
_atom_site_fract_x
_atom_site_fract_y
_atom_site_fract_z
Nb1 0.0000 0.0000 0.0000
Tl1 0.0000 0.0000 0.5000
F1 0.0000 0.0000 0.0734

***

# InSiRuO, optimized geometry, DFT GGA-PBE
# Uncorrected formation energy = -0.81 eV/atom
# E = -6.4101 eV per atom
data_InSiRuO
_chemical_formula_sum 'In1 Si1 Ru1 O1'
_cell_length_a 3.100
_cell_length_b 2.902
_cell_length_c 6.924
_cell_angle_alpha 90.00
_cell_angle_beta 90.08
_cell_angle_gamma 90.00
_symmetry_space_group_name_H-M 'P 1 m 1'
_symmetry_Int_Tables_number 6
_symmetry_space_group_name_Hall 'P -2y'
loop_
_atom_site_label
_atom_site_fract_x
_atom_site_fract_y
_atom_site_fract_z
In1 0.000 0.000 0.000
Si1 0.998 0.500 0.492
Ru1 0.499 0.500 0.743
O1 0.998 0.000 0.342

***

# Pm6In2Pt, optimized geometry, DFT GGA-PBE
# Energy relative to the elements = -0.50 eV per atom
# E = -4.9442 eV per atom
data_Pm6In2Pt
_chemical_formula_sum 'Pm12 In4 Pt2'
_cell_length_a 3.899
_cell_length_b 15.423
_cell_length_c 8.907
_cell_angle_alpha 90.00
_cell_angle_beta 90.00
_cell_angle_gamma 90.00
_symmetry_space_group_name_H-M 'A m m 2'
_symmetry_Int_Tables_number 38
_symmetry_space_group_name_Hall 'A 2 -2'
loop_
_atom_site_label
_atom_site_fract_x
_atom_site_fract_y
_atom_site_fract_z
Pm1 0.000 0.000 0.000
Pm2 0.000 0.123 0.629
Pm3 0.500 0.000 0.355
Pm4 0.500 0.198 0.951
In1 0.000 0.167 0.253
Pt1 0.500 0.000 0.753

***

# Zr2RhBr, optimized geometry, DFT GGA-PBE
# Uncorrected formation energy = -0.60 eV/atom
# E = -7.1294 eV per atom
data_Zr2RhBr
_chemical_formula_sum 'Zr4 Rh2 Br2'
_cell_length_a 7.353
_cell_length_b 3.656
_cell_length_c 8.092
_cell_angle_alpha 90.00
_cell_angle_beta 116.62
_cell_angle_gamma 90.00
_symmetry_space_group_name_H-M 'C 1 2/m 1'
_symmetry_Int_Tables_number 12
_symmetry_space_group_name_Hall '-C 2y'
loop_
_atom_site_label
_atom_site_fract_x
_atom_site_fract_y
_atom_site_fract_z
Zr1 0.223 0.000 0.321
Rh1 0.000 0.000 0.500
Br1 0.000 0.500 0.000

***

# Pm4Er2Th, optimized geometry, DFT GGA-PBE
# Energy relative to the elements = 0.30 eV per atom
# E = -4.7742 eV per atom
data_Pm4Er2Th
_chemical_formula_sum 'Pm16 Er8 Th4'
_cell_length_a 6.768
_cell_length_b 11.556
_cell_length_c 12.129
_cell_angle_alpha 90.00
_cell_angle_beta 90.00
_cell_angle_gamma 90.00
_symmetry_space_group_name_H-M 'I m m a'
_symmetry_Int_Tables_number 74
_symmetry_space_group_name_Hall '-I 2b 2'
loop_
_atom_site_label
_atom_site_fract_x
_atom_site_fract_y
_atom_site_fract_z
Pm1 0.000 0.003 0.154
Pm2 0.224 0.250 0.988
Er1 0.000 0.000 0.500
Er2 0.000 0.250 0.721
Th1 0.250 0.250 0.250

***

# BaCaIn2Pb, optimized geometry, DFT GGA-PBE
# Energy relative to the elements = 0.79 eV per atom
# E = -1.8282 eV per atom
data_BaCaIn2Pb
_chemical_formula_sum 'Ba1 Ca1 In2 Pb1'
_cell_length_a 6.137
_cell_length_b 6.137
_cell_length_c 6.309
_cell_angle_alpha 90.00
_cell_angle_beta 90.00
_cell_angle_gamma 90.00
_symmetry_space_group_name_H-M 'P 4/m m m'
_symmetry_Int_Tables_number 123
_symmetry_space_group_name_Hall '-P 4 2'
loop_
_atom_site_label
_atom_site_fract_x
_atom_site_fract_y
_atom_site_fract_z
Ba1 0.000 0.000 0.000
Ca1 0.000 0.000 0.500
In1 0.000 0.500 0.000
Pb1 0.500 0.500 0.500

***

# TlBi2Sb, optimized geometry, DFT GGA-PBE
# Uncorrected formation energy = 0.15 eV/atom
# E = -3.4101 eV per atom
data_TlBi2Sb
_chemical_formula_sum 'Tl4 Bi8 Sb4'
_cell_length_a 7.840
_cell_length_b 7.840
_cell_length_c 7.840
_cell_angle_alpha 90.00
_cell_angle_beta 90.00
_cell_angle_gamma 90.00
_symmetry_space_group_name_H-M 'F m -3 m'
_symmetry_Int_Tables_number 225
_symmetry_space_group_name_Hall '-F 4 2 3'
loop_
_atom_site_label
_atom_site_fract_x
_atom_site_fract_y
_atom_site_fract_z
Tl1 0.000 0.000 0.000
Bi1 0.250 0.250 0.250
Sb1 0.000 0.000 0.500